No. 1
{"formula": "YTiPd5", "functional": "GGA-PBE", "state": "relaxed", "lattice": [[4.122, 0.000, 0.000], [0.000, 4.122, 0.000], [0.000, 0.000, 7.324]], "species": ["Y", "Ti", "Pd", "Pd", "Pd", "Pd", "Pd"], "frac_coords": [[0.000, 0.000, 0.500], [0.500, 0.500, 0.000], [0.000, 0.500, 0.792], [0.000, 0.500, 0.208], [0.500, 0.000, 0.792], [0.500, 0.000, 0.208], [0.500, 0.500, 0.500]], "formation_enthalpy_0k_mev_per_atom": -601, "sg": "No. 123"}

***

No. 2
{"formula": "ZnCr2Ru", "functional": "GGA-PBE", "state": "relaxed", "lattice": [[8.810, 0.006, 0.004], [8.415, 2.608, 0.004], [8.415, 1.277, 2.274]], "species": ["Cr", "Cr", "Ru", "Zn"], "frac_coords": [[0.998, 0.998, 0.998], [0.502, 0.502, 0.502], [0.250, 0.250, 0.250], [0.750, 0.750, 0.750]], "formation_enthalpy_0k_mev_per_atom": 221, "sg": "No. 166"}

***

No. 3
{"formula": "Ho3AlIn", "functional": "GGA-PBE", "state": "relaxed", "lattice": [[-4.431, 2.375, 1.240], [-0.078, -3.805, 7.007], [3.611, 7.079, -0.654]], "species": ["Ho", "Ho", "Ho", "Ho", "Ho", "Ho", "Al", "Al", "In", "In"], "frac_coords": [[0.250, 0.809, 0.191], [0.750, 0.191, 0.809], [0.250, 0.809, 0.617], [0.750, 0.191, 0.383], [0.250, 0.383, 0.191], [0.750, 0.617, 0.809], [0.000, 0.000, 0.000], [0.500, 0.000, 0.000], [0.250, 0.333, 0.667], [0.750, 0.667, 0.333]], "formation_enthalpy_0k_mev_per_atom": -138, "sg": "No. 194"}

***

No. 4
{"formula": "MgTiI2N", "functional": "GGA-PBE", "state": "relaxed", "lattice": [[5.698, 0.000, 0.000], [0.000, 5.698, 0.000], [0.000, 0.000, 3.891]], "species": ["I", "I", "Mg", "N", "Ti"], "frac_coords": [[0.000, 0.500, 0.000], [0.500, 0.000, 0.000], [0.000, 0.000, 0.000], [0.000, 0.000, 0.500], [0.500, 0.500, 0.500]], "sg": "No. 123", "raw_formation_energy_ev_per_atom": 0.57}

***

No. 5
{"formula": "SbTe", "functional": "GGA-PBE", "state": "relaxed", "lattice": [[12.669, 0.000, 0.000], [-6.334, 10.972, 0.000], [0.000, 0.000, 3.916]], "species": ["Sb", "Sb", "Sb", "Sb", "Sb", "Sb", "Te", "Te", "Te", "Te", "Te", "Te"], "frac_coords": [[0.666, 0.013, 0.250], [0.653, 0.666, 0.750], [0.987, 0.653, 0.250], [0.334, 0.987, 0.750], [0.347, 0.334, 0.250], [0.013, 0.347, 0.750], [0.856, 0.355, 0.250], [0.500, 0.856, 0.750], [0.645, 0.500, 0.250], [0.144, 0.645, 0.750], [0.500, 0.144, 0.250], [0.355, 0.500, 0.750]], "sg": "No. 176", "raw_formation_energy_ev_per_atom": 0.18}

***

No. 6
{"formula": "HoTiCu4", "functional": "GGA-PBE", "state": "relaxed", "lattice": [[5.071, 0.000, 0.000], [2.535, 4.391, 0.000], [2.535, 1.464, 4.140]], "species": ["Ho", "Cu", "Cu", "Cu", "Cu", "Ti"], "frac_coords": [[0.000, 0.000, 0.000], [0.624, 0.624, 0.128], [0.624, 0.128, 0.624], [0.624, 0.624, 0.624], [0.128, 0.624, 0.624], [0.250, 0.250, 0.250]], "formation_enthalpy_0k_mev_per_atom": -52, "sg": "No. 216"}

***

No. 7
{"formula": "Sr8In2Pt", "functional": "GGA-PBE", "state": "relaxed", "lattice": [[-0.306, 3.639, -2.652], [4.072, -4.447, -6.570], [-10.325, -5.956, -3.140]], "species": ["Sr", "Sr", "Sr", "Sr", "Sr", "Sr", "Sr", "Sr", "In", "In", "Pt"], "frac_coords": [[0.600, 0.476, 0.201], [0.375, 0.010, 0.750], [0.232, 0.301, 0.465], [0.009, 0.778, 0.017], [0.768, 0.699, 0.535], [0.625, 0.990, 0.250], [0.400, 0.524, 0.799], [0.991, 0.222, 0.983], [0.162, 0.701, 0.323], [0.838, 0.299, 0.677], [0.500, 0.000, 0.000]], "formation_enthalpy_0k_mev_per_atom": -323, "sg": "No. 12"}

***

No. 8
{"formula": "BeGa2S2", "functional": "GGA-PBE", "state": "relaxed", "lattice": [[6.980, 0.000, 0.000], [0.000, 6.980, 0.000], [0.000, 0.000, 3.511]], "species": ["Be", "Be", "S", "S", "S", "S", "Ga", "Ga", "Ga", "Ga"], "frac_coords": [[0.000, 0.000, 0.000], [0.500, 0.500, 0.000], [0.158, 0.658, 0.500], [0.658, 0.842, 0.500], [0.842, 0.342, 0.500], [0.342, 0.158, 0.500], [0.339, 0.839, 0.000], [0.839, 0.661, 0.000], [0.661, 0.161, 0.000], [0.161, 0.339, 0.000]], "sg": "No. 127", "raw_formation_energy_ev_per_atom": 0.32}